Entry 1:
The following is a GGA-PBE calculation of a relaxed ZrAlSi2 crystal, from the Alexandria database.

Lattice parameters (Å, degrees): 7.174 7.174 5.583 90.00 90.00 90.00
Element x y z (fractional)
1 Zr 0.000 0.000 0.000
2 Zr 0.000 0.500 0.250
3 Zr 0.500 0.000 0.750
4 Zr 0.500 0.500 0.500
5 Al 0.000 0.000 0.500
6 Al 0.000 0.500 0.750
7 Al 0.500 0.000 0.250
8 Al 0.500 0.500 0.000
9 Si 0.225 0.250 0.625
10 Si 0.250 0.725 0.875
11 Si 0.250 0.775 0.375
12 Si 0.275 0.250 0.125
13 Si 0.725 0.750 0.125
14 Si 0.750 0.225 0.375
15 Si 0.750 0.275 0.875
16 Si 0.775 0.750 0.625

## Properties
magnetic moment: 0.00 μB/f.u.
energy: -5.81 eV/atom
calculated density: 4.0 Mg/m³
formation energy from raw total energies: -0.022 eV/atom

=====

Entry 2:
The following is a GGA-PBE calculation of a relaxed Ga2GeAu2 crystal, from the Alexandria database.

Lattice parameters (Å, degrees): 4.009 4.009 12.160 90.00 90.00 90.00
Element x y z (fractional)
1 Ga 0.000 0.000 0.102
2 Ga 0.000 0.000 0.898
3 Ga 0.500 0.500 0.398
4 Ga 0.500 0.500 0.602
5 Ge 0.000 0.000 0.500
6 Ge 0.500 0.500 0.000
7 Au 0.000 0.500 0.250
8 Au 0.000 0.500 0.750
9 Au 0.500 0.000 0.250
10 Au 0.500 0.000 0.750

## Properties
magnetic moment: 0.00 μB/f.u.
energy: -3.38 eV/atom
calculated density: 10.3 Mg/m³
E_form: 0.0693 eV per atom

=====

Entry 3:
The following is a GGA-PBE calculation of a relaxed MgSc2Cd6 crystal, from the Alexandria database.

Lattice parameters (Å, degrees): 6.013 6.013 6.516 90.30 90.30 60.04
Element x y z (fractional)
1 Mg 0.000 0.000 0.000
2 Sc 0.333 0.333 0.113
3 Sc 0.667 0.667 0.887
4 Cd 0.174 0.174 0.681
5 Cd 0.174 0.651 0.678
6 Cd 0.349 0.826 0.322
7 Cd 0.651 0.174 0.678
8 Cd 0.826 0.349 0.322
9 Cd 0.826 0.826 0.319

## Properties
magnetic moment: 0.00 μB/f.u.
energy: -2.28 eV/atom
calculated density: 6.4 Mg/m³
E_form: -0.0889 eV per atom

=====

Entry 4:
The following is a GGA-PBE calculation of a relaxed Hf2IrPb crystal, from the Alexandria database.

Lattice parameters (Å, degrees): 3.115 3.115 8.452 90.00 90.00 90.00
Element x y z (fractional)
1 Hf 0.000 0.000 0.212
2 Hf 0.000 0.000 0.788
3 Ir 0.500 0.500 0.000
4 Pb 0.500 0.500 0.500

## Properties
magnetic moment: 0.00 μB/f.u.
energy: -8.50 eV/atom
calculated density: 15.3 Mg/m³
E_form: -0.3794 eV per atom